# NbGa2Cu

NbGa2Cu after structural relaxation (GGA-PBE, Alexandria via LeMat-Bulk).

## Properties
Its density of states at the Fermi level is 1.4 states/eV/f.u. As for the calculated formation energy: -0.055 eV per atom. For the total magnetic moment, the calculation gives 0.0 Bohr magnetons per cell.

a b c (Å): 4.0081 4.0081 13.5952
angles (deg): 90.00 90.00 120.00
Space group R-3m (No. 166, hexagonal axes)
Symmetry-distinct sites (fractional):
Nb 0.0000 0.0000 0.0000 x3
Ga 0.0000 0.0000 0.2256 x6
Cu 0.0000 0.0000 0.5000 x3